## BaLiCd (meta-GGA SCAN)

Data for a crystal of BaLiCd relaxed with PBEsol.

**ΔE to the lowest computed polymorph**: 152 meV/atom
**ΔE_f**: -0.075 eV per atom

a = 7.7188 Å, b = 7.7188 Å, c = 7.7188 Å
α = 90.00°, β = 90.00°, γ = 90.00°
Space group F-43m (No. 216)
Symmetry-distinct sites (fractional):
Ba 0.0000 0.0000 0.0000 [4 per cell]
Li 0.0000 0.0000 0.5000 [4 per cell]
Cd 0.2500 0.2500 0.7500 [4 per cell]

***

## FeCoOs2 (meta-GGA SCAN)

Data for a crystal of FeCoOs2 relaxed with PBEsol.

**ΔE to the lowest computed polymorph**: 27 meV/atom
**ΔE_f**: 0.179 eV per atom

a = 2.6476 Å, b = 2.6476 Å, c = 24.9174 Å
α = 90.00°, β = 90.00°, γ = 120.00°
Space group R3m (No. 160, hexagonal axes)
Symmetry-distinct sites (fractional):
Fe 0.0000 0.0000 0.0000 [3 per cell]
Co 0.0000 0.0000 0.2564 [3 per cell]
Os 0.0000 0.0000 0.5062 [3 per cell]
Os 0.0000 0.0000 0.7510 [3 per cell]

***

## Mn2SiMo (meta-GGA SCAN)

Data for a crystal of Mn2SiMo relaxed with PBEsol.

**Formation energy without anion corrections**: 0.120 eV per atom

a = 2.6358 Å, b = 2.6358 Å, c = 24.3370 Å
α = 90.00°, β = 90.00°, γ = 120.00°
Space group R3m (No. 160, hexagonal axes)
Symmetry-distinct sites (fractional):
Mn 0.0000 0.0000 0.0000 [3 per cell]
Mn 0.0000 0.0000 0.2595 [3 per cell]
Si 0.0000 0.0000 0.7449 [3 per cell]
Mo 0.0000 0.0000 0.5030 [3 per cell]

***

DOS(E_F)? In order: 8.2 11.5 12.4 states/eV/cell.
Calculated total energy? In order: -290.313 -535.432 -242.796 eV/cell.